The following is a DFT calculation (PBE with a Hubbard U) of Li3MnCoO5 after structural relaxation.

Results
total magnetic moment	10.00	Bohr magnetons per cell
distance to the lowest polymorph of the same formula	0.059	eV per atom
crystal system	monoclinic
space group	No. 8

a b c (Å): 7.821 7.821 8.148
angles (deg): 104.25 104.25 21.46
Element x y z (fractional)
Li 0.000 0.000 0.000
Li 0.011 0.011 0.516
Li 0.212 0.212 0.617
Li 0.414 0.414 0.226
Li 0.600 0.600 0.788
Li 0.819 0.819 0.426
Mn 0.212 0.212 0.106
Mn 0.609 0.609 0.318
Co 0.415 0.415 0.696
Co 0.813 0.813 0.913
O 0.005 0.005 0.764
O 0.024 0.024 0.262
O 0.201 0.201 0.342
O 0.222 0.222 0.878
O 0.398 0.398 0.956
O 0.407 0.407 0.469
O 0.614 0.614 0.541
O 0.622 0.622 0.071
O 0.802 0.802 0.151
O 0.818 0.818 0.683